Entry 1:
# RbCu4Se4, relaxed, DFT PBE-GGA
data_RbCu4Se4
_chemical_formula_sum 'Rb1 Cu4 Se4'
_symmetry_space_group_name_H-M 'P -3 m 1'
_symmetry_Int_Tables_number 164
_symmetry_space_group_name_Hall '-P 3 2"'
_cell_length_a 4.0427
_cell_length_b 4.0427
_cell_length_c 13.6673
_cell_angle_alpha 90.00
_cell_angle_beta 90.00
_cell_angle_gamma 120.00
loop_
_atom_site_label
_atom_site_fract_x
_atom_site_fract_y
_atom_site_fract_z
Rb1 0.0000 0.0000 0.0000
Cu1 0.3333 0.6667 0.3586
Cu2 0.3333 0.6667 0.7884
Se1 0.0000 0.0000 0.4115
Se2 0.3333 0.6667 0.1801
# E, eV per cell: -32.67
# ρ, Mg/m³: 5.63

---

Entry 2:
# Cs2NbSeS2, relaxed, DFT PBE-GGA
data_Cs2NbSeS2
_chemical_formula_sum 'Cs8 Nb4 Se4 S8'
_symmetry_space_group_name_H-M 'C 1 2/m 1'
_symmetry_Int_Tables_number 12
_symmetry_space_group_name_Hall '-C 2y'
_cell_length_a 14.519
_cell_length_b 7.493
_cell_length_c 10.486
_cell_angle_alpha 90.00
_cell_angle_beta 126.78
_cell_angle_gamma 90.00
loop_
_atom_site_label
_atom_site_fract_x
_atom_site_fract_y
_atom_site_fract_z
Cs1 0.075 0.000 0.353
Cs2 0.208 0.500 0.820
Nb1 0.107 0.500 0.164
Se1 0.109 0.500 0.396
S1 0.000 0.249 0.000
S2 0.214 0.000 0.780
# E, eV per cell: -123.17
# ρ, Mg/m³: 3.65

---

Entry 3:
# NdGa3Ir, relaxed, DFT PBE-GGA
data_NdGa3Ir
_chemical_formula_sum 'Nd2 Ga6 Ir2'
_symmetry_space_group_name_H-M 'I 4 m m'
_symmetry_Int_Tables_number 107
_symmetry_space_group_name_Hall 'I 4 -2'
_cell_length_a 4.337
_cell_length_b 4.337
_cell_length_c 10.560
_cell_angle_alpha 90.00
_cell_angle_beta 90.00
_cell_angle_gamma 90.00
loop_
_atom_site_label
_atom_site_fract_x
_atom_site_fract_y
_atom_site_fract_z
Nd1 0.000 0.000 0.000
Ga1 0.000 0.000 0.590
Ga2 0.000 0.500 0.244
Ir1 0.000 0.000 0.360
# E, eV per cell: -51.75
# ρ, Mg/m³: 9.13

---

| no. | V (Å³/atom) |
| --- | --- |
| 1 | 21.5 |
| 2 | 38.1 |
| 3 | 19.9 |